# 1
{"formula": "BaTl5Hg8", "functional": "PBE", "state": "optimized geometry", "density_g_cm3": 10.61, "spacegroup": "I-4 (82)", "cell": [[-4.716, 4.716, 4.860], [4.716, -4.716, 4.860], [4.716, 4.716, -4.860]], "species": ["Ba", "Tl", "Tl", "Tl", "Tl", "Tl", "Hg", "Hg", "Hg", "Hg", "Hg", "Hg", "Hg", "Hg"], "fractional_positions": [[0.000, 0.000, 0.000], [0.203, 0.101, 0.580], [0.376, 0.797, 0.897], [0.521, 0.624, 0.420], [0.750, 0.250, 0.500], [0.899, 0.479, 0.103], [0.147, 0.414, 0.448], [0.171, 0.403, 0.913], [0.301, 0.853, 0.266], [0.489, 0.258, 0.087], [0.586, 0.035, 0.734], [0.597, 0.511, 0.769], [0.742, 0.829, 0.231], [0.965, 0.699, 0.552]]}


# 2
{"formula": "BaTl12Hg6", "functional": "PBE", "state": "optimized geometry", "density_g_cm3": 10.22, "spacegroup": "R-3m (166)", "cell": [[7.205, 4.160, 3.427], [-7.205, 4.160, 3.427], [0.000, -8.319, 3.427]], "species": ["Ba", "Tl", "Tl", "Tl", "Tl", "Tl", "Tl", "Tl", "Tl", "Tl", "Tl", "Tl", "Tl", "Hg", "Hg", "Hg", "Hg", "Hg", "Hg"], "fractional_positions": [[0.000, 0.000, 0.000], [0.114, 0.500, 0.886], [0.114, 0.886, 0.500], [0.149, 0.395, 0.395], [0.395, 0.149, 0.395], [0.395, 0.395, 0.149], [0.500, 0.114, 0.886], [0.500, 0.886, 0.114], [0.605, 0.605, 0.851], [0.605, 0.851, 0.605], [0.851, 0.605, 0.605], [0.886, 0.114, 0.500], [0.886, 0.500, 0.114], [0.279, 0.713, 0.713], [0.287, 0.287, 0.721], [0.287, 0.721, 0.287], [0.713, 0.279, 0.713], [0.713, 0.713, 0.279], [0.721, 0.287, 0.287]]}


# 3
{"formula": "Ba2TlHg2", "functional": "PBE", "state": "optimized geometry", "density_g_cm3": 7.94, "e_above_lowest_polymorph_ev_per_atom": 0.000, "spacegroup": "C2/m (12)", "cell": [[6.395, -2.561, 0.000], [6.395, 2.561, 0.000], [-5.630, 0.000, 11.235]], "species": ["Ba", "Ba", "Ba", "Ba", "Tl", "Tl", "Hg", "Hg", "Hg", "Hg"], "fractional_positions": [[0.020, 0.020, 0.344], [0.191, 0.191, 0.113], [0.809, 0.809, 0.887], [0.980, 0.980, 0.656], [0.277, 0.277, 0.651], [0.723, 0.723, 0.349], [0.364, 0.364, 0.433], [0.472, 0.472, 0.110], [0.528, 0.528, 0.890], [0.636, 0.636, 0.567]]}


# 4
{"formula": "Ba8Tl2Hg3", "functional": "PBE", "state": "optimized geometry", "density_g_cm3": 5.62, "spacegroup": "P-1 (2)", "cell": [[8.201, 0.000, 0.000], [2.271, 8.810, 0.000], [2.270, 1.779, 8.634]], "species": ["Ba", "Ba", "Ba", "Ba", "Ba", "Ba", "Ba", "Ba", "Tl", "Tl", "Hg", "Hg", "Hg"], "fractional_positions": [[0.205, 0.082, 0.081], [0.247, 0.130, 0.553], [0.248, 0.553, 0.130], [0.283, 0.624, 0.625], [0.717, 0.376, 0.375], [0.752, 0.447, 0.870], [0.753, 0.870, 0.447], [0.795, 0.918, 0.919], [0.431, 0.831, 0.831], [0.569, 0.169, 0.169], [0.000, 0.500, 0.500], [0.499, 0.765, 0.237], [0.501, 0.235, 0.763]]}


# 5
{"formula": "Ba2TlHg2", "functional": "PBE", "state": "optimized geometry", "density_g_cm3": 8.06, "e_above_lowest_polymorph_ev_per_atom": 0.001, "spacegroup": "C2/m (12)", "cell": [[5.507, -3.576, 0.000], [5.507, 3.576, 0.000], [-2.472, 0.000, 4.606]], "species": ["Ba", "Ba", "Tl", "Hg", "Hg"], "fractional_positions": [[0.209, 0.209, 0.209], [0.791, 0.791, 0.791], [0.500, 0.500, 0.000], [0.214, 0.786, 0.500], [0.786, 0.214, 0.500]]}


# 6
{"formula": "Ba2Tl2Hg", "functional": "PBE", "state": "optimized geometry", "density_g_cm3": 7.06, "e_above_lowest_polymorph_ev_per_atom": 0.146, "spacegroup": "P4/mbm (127)", "cell": [[9.902, 0.000, 0.000], [0.000, 9.902, 0.000], [0.000, 0.000, 4.240]], "species": ["Ba", "Ba", "Ba", "Ba", "Tl", "Tl", "Tl", "Tl", "Hg", "Hg"], "fractional_positions": [[0.185, 0.315, 0.000], [0.315, 0.815, 0.000], [0.685, 0.185, 0.000], [0.815, 0.685, 0.000], [0.112, 0.612, 0.500], [0.388, 0.112, 0.500], [0.612, 0.888, 0.500], [0.888, 0.388, 0.500], [0.000, 0.000, 0.000], [0.500, 0.500, 0.000]]}


The formation enthalpy at 0 K results, record by record, are as follows: -0.107, -0.010, -0.438, -0.318, -0.437, -0.251 eV/atom.